First-principles (PBE) data for a relaxed PrCuSnTe3 crystal, as listed in Alexandria.

## Properties
ΔE_f (raw) in meV per atom: -705
Space-group type: No. 11
Volume in Å³/f.u.: 187

Cell lengths 4.260, 9.302, 9.543 Å; angles 98.44, 90.00, 90.00 degrees
Element x y z (fractional)
Pr 0.250 0.152 0.242
Pr 0.750 0.848 0.758
Cu 0.250 0.064 0.570
Cu 0.750 0.936 0.430
Sn 0.250 0.650 0.156
Sn 0.750 0.350 0.844
Te 0.750 0.897 0.136
Te 0.250 0.103 0.864
Te 0.250 0.780 0.498
Te 0.750 0.220 0.502
Te 0.750 0.396 0.165
Te 0.250 0.604 0.835